# 1
## Li3In3Ga2 (PBE-GGA)

Data for a geometry-optimized Li3In3Ga2 structure.

Its crystal system is orthorhombic. The formation energy is -161 meV per atom.

It has space group Cmcm (No. 63), with a = 4.502 Å, b = 10.600 Å, c = 13.891 Å, α = 90.00°, β = 90.00° and γ = 90.00°. The inequivalent atoms are Li at (0.000, 0.077, 0.097), Li at (0.000, 0.275, 0.250), In at (0.000, 0.373, 0.047), In at (0.000, 0.450, 0.750) and Ga at (0.000, 0.221, 0.640).

# 2
## CaSc2RuBr (PBE-GGA)

Data for a geometry-optimized CaSc2RuBr structure.

The uncorrected formation energy is 420 meV/atom. Its crystal system is tetragonal.

It has space group P4/mmm (No. 123), with a = 4.908 Å, b = 4.908 Å, c = 5.211 Å, α = 90.00°, β = 90.00° and γ = 90.00°. The inequivalent atoms are Ca at (0.000, 0.000, 0.000), Sc at (0.000, 0.500, 0.500), Ru at (0.500, 0.500, 0.000) and Br at (0.000, 0.000, 0.500).

# 3
## LaCrTe2 (PBE-GGA)

Data for a geometry-optimized LaCrTe2 structure.

The uncorrected formation energy is -687 meV/atom. Its crystal system is monoclinic.

It has space group P2/m (No. 10), with a = 4.108 Å, b = 3.934 Å, c = 7.466 Å, α = 90.00°, β = 98.39° and γ = 90.00°. The inequivalent atoms are La at (0.000, 0.000, 0.000), Cr at (0.500, 0.000, 0.500) and Te at (0.440, 0.500, 0.753).

# 4
## SrMo2W (PBE-GGA)

Data for a geometry-optimized SrMo2W structure.

Its crystal system is cubic. The formation energy is 1052 meV per atom.

It has space group Fm-3m (No. 225), with a = 6.675 Å, b = 6.675 Å, c = 6.675 Å, α = 90.00°, β = 90.00° and γ = 90.00°. The inequivalent atoms are Sr at (0.000, 0.000, 0.000), Mo at (0.250, 0.250, 0.250) and W at (0.000, 0.000, 0.500).

# 5
## SrCdMo (PBE-GGA)

Data for a geometry-optimized SrCdMo structure.

Its crystal system is tetragonal. The formation energy is 736 meV per atom.

It has space group I4mm (No. 107), with a = 3.692 Å, b = 3.692 Å, c = 11.654 Å, α = 90.00°, β = 90.00° and γ = 90.00°. The inequivalent atoms are Sr at (0.000, 0.000, 0.000), Cd at (0.000, 0.000, 0.707) and Mo at (0.000, 0.000, 0.307).

# 6
## Mn2BeGe (PBE-GGA)

Data for a geometry-optimized Mn2BeGe structure.

Its crystal system is tetragonal. The formation energy is 364 meV per atom.

It has space group I-42d (No. 122), with a = 3.466 Å, b = 3.466 Å, c = 16.440 Å, α = 90.00°, β = 90.00° and γ = 90.00°. The inequivalent atoms are Mn at (0.176, 0.250, 0.125), Be at (0.000, 0.000, 0.000) and Ge at (0.000, 0.000, 0.500).

# 7
## Na4Ce3AuSe8 (PBE-GGA)

Data for a geometry-optimized Na4Ce3AuSe8 structure.

The uncorrected formation energy is -1325 meV/atom. Its crystal system is monoclinic.

It has space group C2/m (No. 12), with a = 14.859 Å, b = 8.252 Å, c = 8.490 Å, α = 90.00°, β = 124.69° and γ = 90.00°. The inequivalent atoms are Na at (0.000, 0.000, 0.000), Na at (0.000, 0.500, 0.000), Na at (0.250, 0.250, 0.000), Ce at (0.000, 0.000, 0.500), Ce at (0.250, 0.250, 0.500), Au at (0.000, 0.500, 0.500), Se at (0.010, 0.259, 0.278), Se at (0.237, 0.000, 0.253) and Se at (0.242, 0.000, 0.736).

# 8
## Rb4Hg7Pt (PBE-GGA)

Data for a geometry-optimized Rb4Hg7Pt structure.

Its crystal system is monoclinic. The formation energy is -206 meV per atom.

It has space group C2/m (No. 12), with a = 17.115 Å, b = 5.487 Å, c = 11.091 Å, α = 90.00°, β = 121.58° and γ = 90.00°. The inequivalent atoms are Rb at (0.063, 0.000, 0.241), Rb at (0.238, 0.000, 0.751), Hg at (0.000, 0.000, 0.500), Hg at (0.105, 0.500, 0.804), Hg at (0.164, 0.500, 0.497), Hg at (0.173, 0.000, 0.014) and Pt at (0.000, 0.500, 0.500).

# 9
## Ba2PRuPb (PBE-GGA)

Data for a geometry-optimized Ba2PRuPb structure.

Its crystal system is tetragonal. The formation energy is 55 meV per atom.

It has space group P4/mmm (No. 123), with a = 5.702 Å, b = 5.702 Å, c = 5.307 Å, α = 90.00°, β = 90.00° and γ = 90.00°. The inequivalent atoms are Ba at (0.000, 0.500, 0.000), P at (0.000, 0.000, 0.500), Ru at (0.500, 0.500, 0.000) and Pb at (0.500, 0.500, 0.500).

# 10
## AlInAsSe2 (PBE-GGA)

Data for a geometry-optimized AlInAsSe2 structure.

The uncorrected formation energy is 585 meV/atom. Its crystal system is tetragonal.

It has space group P4/mmm (No. 123), with a = 5.338 Å, b = 5.338 Å, c = 5.275 Å, α = 90.00°, β = 90.00° and γ = 90.00°. The inequivalent atoms are Al at (0.000, 0.000, 0.000), In at (0.500, 0.500, 0.500), As at (0.500, 0.500, 0.000) and Se at (0.000, 0.500, 0.500).

# 11
## P2HSCl (PBE-GGA)

Data for a geometry-optimized P2HSCl structure.

Its crystal system is tetragonal. The calculation puts the total DFT energy (no corrections) at -13.660 eV per formula unit.

It has space group P4/mmm (No. 123), with a = 4.555 Å, b = 4.555 Å, c = 5.324 Å, α = 90.00°, β = 90.00° and γ = 90.00°. The inequivalent atoms are P at (0.000, 0.500, 0.000), H at (0.000, 0.000, 0.500), S at (0.500, 0.500, 0.000) and Cl at (0.500, 0.500, 0.500).

# 12
## Tm3SnBi (PBE-GGA)

Data for a geometry-optimized Tm3SnBi structure.

Its crystal system is monoclinic. The formation energy is -299 meV per atom.

It has space group C2/c (No. 15), with a = 14.369 Å, b = 7.045 Å, c = 14.345 Å, α = 90.00°, β = 111.84° and γ = 90.00°. The inequivalent atoms are Tm at (0.079, 0.244, 0.079), Tm at (0.179, 0.488, 0.816), Tm at (0.180, 0.012, 0.325), Sn at (0.000, 0.259, 0.250), Sn at (0.250, 0.250, 0.000) and Bi at (0.116, 0.234, 0.615).

Repeat the fourth record exactly.
## SrMo2W (PBE-GGA)

Data for a geometry-optimized SrMo2W structure.

Its crystal system is cubic. The formation energy is 1052 meV per atom.

It has space group Fm-3m (No. 225), with a = 6.675 Å, b = 6.675 Å, c = 6.675 Å, α = 90.00°, β = 90.00° and γ = 90.00°. The inequivalent atoms are Sr at (0.000, 0.000, 0.000), Mo at (0.250, 0.250, 0.250) and W at (0.000, 0.000, 0.500).

- What is the formula in the fifth record?
  SrCdMo